Below is a relaxed structure of UBrO2, with properties calculated at the PBE level.

a = 3.7216 Å, b = 3.7216 Å, c = 16.7526 Å
α = 90.00°, β = 90.00°, γ = 120.00°
Last column: nearest neighbours and their distance in Å.
Positions (direct):
U 0.0000 0.0000 0.0000  6 O 2.23
U 0.3333 0.6667 0.6667  6 O 2.23
U 0.6667 0.3333 0.3333  6 O 2.23
Br 0.0000 0.0000 0.5000  8 O 3.07-3.40
Br 0.3333 0.6667 0.1667  8 O 3.07-3.40
Br 0.6667 0.3333 0.8333  8 O 3.07-3.40
O 0.0000 0.0000 0.2973  3 U 2.23, 3 O 2.47
O 0.0000 0.0000 0.7027  3 U 2.23, 3 O 2.47
O 0.3333 0.6667 0.3694  3 U 2.23, 3 O 2.47
O 0.3333 0.6667 0.9639  3 U 2.23, 3 O 2.47
O 0.6667 0.3333 0.0361  3 U 2.23, 3 O 2.47
O 0.6667 0.3333 0.6306  3 U 2.23, 3 O 2.47

Its raw formation energy is -2.371 eV per atom. As for the total magnetic moment: 0.250 μB/atom. The density of states at the Fermi level comes out at 15.34 states/eV/cell. The density comes out at 8.7 g cm⁻³.